No. 1
# TaFeRe2 (SCAN, PBEsol geometry)
# N(E_F) in states/eV/cell: 3.4
# Energy in eV/atom: -56.6158
# Calculated formation energy in eV/atom: 0.111
data_TaFeRe2
_space_group_name_H-M_alt 'P 4 m m'
_space_group_IT_number 99
_cell_length_a 2.7259
_cell_length_b 2.7259
_cell_length_c 7.6773
_cell_angle_alpha 90.00
_cell_angle_beta 90.00
_cell_angle_gamma 90.00
loop_
_space_group_symop_operation_xyz
'x,y,z'
'-y,x,z'
'-x,-y,z'
'y,-x,z'
'-x,y,z'
'y,x,z'
'x,-y,z'
'-y,-x,z'
loop_
_atom_site_label
_atom_site_type_symbol
_atom_site_fract_x
_atom_site_fract_y
_atom_site_fract_z
_atom_site_occupancy
Ta1 Ta 0.0000 0.0000 0.0000 1
Fe1 Fe 0.5000 0.5000 0.2493 1
Re1 Re 0.0000 0.0000 0.4573 1
Re2 Re 0.5000 0.5000 0.7143 1



No. 2
# MgAg3 (SCAN, PBEsol geometry)
# E above lowest polymorph in meV per atom: 39
# N(E_F) in states/eV/cell: 2.3
# Energy in eV/atom: -24.8896
# Calculated formation energy in eV/atom: -0.121
data_MgAg3
_space_group_name_H-M_alt 'C 1 2/m 1'
_space_group_IT_number 12
_cell_length_a 9.5641
_cell_length_b 3.0305
_cell_length_c 4.8403
_cell_angle_alpha 90.00
_cell_angle_beta 103.12
_cell_angle_gamma 90.00
loop_
_space_group_symop_operation_xyz
'x,y,z'
'-x,-y,-z'
'-x,y,-z'
'x,-y,z'
'x+1/2,y+1/2,z'
'-x+1/2,-y+1/2,-z'
'-x+1/2,y+1/2,-z'
'x+1/2,-y+1/2,z'
loop_
_atom_site_label
_atom_site_type_symbol
_atom_site_fract_x
_atom_site_fract_y
_atom_site_fract_z
_atom_site_occupancy
Mg1 Mg 0.0000 0.0000 0.0000 1
Ag1 Ag 0.0000 0.5000 0.5000 1
Ag2 Ag 0.2496 0.0000 0.7493 1



No. 3
# NbInO2F (SCAN, PBEsol geometry)
# E_form (uncorrected) in eV/f.u.: -9.31
# N(E_F) in states/eV/cell: 0.7
# Energy in eV/atom: -18.3665
data_NbInO2F
_space_group_name_H-M_alt 'P 4/m m m'
_space_group_IT_number 123
_space_group_name_Hall '-P 4 2'
_cell_length_a 3.8465
_cell_length_b 3.8465
_cell_length_c 5.9757
_cell_angle_alpha 90.00
_cell_angle_beta 90.00
_cell_angle_gamma 90.00
loop_
_atom_site_label
_atom_site_type_symbol
_atom_site_fract_x
_atom_site_fract_y
_atom_site_fract_z
_atom_site_occupancy
Nb1 Nb 0.0000 0.0000 0.0000 1
In1 In 0.0000 0.0000 0.5000 1
O1 O 0.0000 0.5000 0.0000 1
F1 F 0.5000 0.5000 0.5000 1



No. 4
# CdTc2Mo (SCAN, PBEsol geometry)
# N(E_F) in states/eV/cell: 7.2
# Energy in eV/atom: -33.4916
# Calculated formation energy in eV/atom: 0.363
data_CdTc2Mo
_space_group_name_H-M_alt 'I m m 2'
_space_group_IT_number 44
_cell_length_a 3.1099
_cell_length_b 4.4407
_cell_length_c 8.9500
_cell_angle_alpha 90.00
_cell_angle_beta 90.00
_cell_angle_gamma 90.00
loop_
_space_group_symop_operation_xyz
'x,y,z'
'-x,-y,z'
'-x,y,z'
'x,-y,z'
'x+1/2,y+1/2,z+1/2'
'-x+1/2,-y+1/2,z+1/2'
'-x+1/2,y+1/2,z+1/2'
'x+1/2,-y+1/2,z+1/2'
loop_
_atom_site_label
_atom_site_type_symbol
_atom_site_fract_x
_atom_site_fract_y
_atom_site_fract_z
_atom_site_occupancy
Cd1 Cd 0.0000 0.0000 0.0000 1
Tc1 Tc 0.0000 0.0000 0.4999 1
Tc2 Tc 0.0000 0.5000 0.2353 1
Mo1 Mo 0.0000 0.5000 0.7687 1



No. 5
# Rb3NbBr (SCAN, PBEsol geometry)
# E_form (uncorrected) in eV/f.u.: 2.28
# N(E_F) in states/eV/cell: 2.0
# Energy in eV/atom: -22.5047
data_Rb3NbBr
_space_group_name_H-M_alt 'P m -3 m'
_space_group_IT_number 221
_space_group_name_Hall '-P 4 2 3'
_cell_length_a 6.7622
_cell_length_b 6.7622
_cell_length_c 6.7622
_cell_angle_alpha 90.00
_cell_angle_beta 90.00
_cell_angle_gamma 90.00
loop_
_atom_site_label
_atom_site_type_symbol
_atom_site_fract_x
_atom_site_fract_y
_atom_site_fract_z
_atom_site_occupancy
Rb1 Rb 0.0000 0.0000 0.5000 1
Nb1 Nb 0.0000 0.0000 0.0000 1
Br1 Br 0.5000 0.5000 0.5000 1



No. 6
# Tl2CdSb (SCAN, PBEsol geometry)
# E_form (uncorrected) in eV/f.u.: 0.26
# E above lowest polymorph in meV per atom: 27
# N(E_F) in states/eV/cell: 3.3
# Energy in eV/atom: -53.0320
data_Tl2CdSb
_space_group_name_H-M_alt 'C 1 m 1'
_space_group_IT_number 8
_cell_length_a 10.5047
_cell_length_b 3.2303
_cell_length_c 6.3847
_cell_angle_alpha 90.00
_cell_angle_beta 98.04
_cell_angle_gamma 90.00
loop_
_space_group_symop_operation_xyz
'x,y,z'
'x,-y,z'
'x+1/2,y+1/2,z'
'x+1/2,-y+1/2,z'
loop_
_atom_site_label
_atom_site_type_symbol
_atom_site_fract_x
_atom_site_fract_y
_atom_site_fract_z
_atom_site_occupancy
Tl1 Tl 0.0000 0.0000 0.0000 1
Tl2 Tl 0.2420 0.0000 0.7367 1
Cd1 Cd 0.4988 0.0000 0.4888 1
Sb1 Sb 0.2553 0.5000 0.2748 1



No. 7
# PPtBr2 (SCAN, PBEsol geometry)
# E_form (uncorrected) in eV/f.u.: 0.73
# N(E_F) in states/eV/cell: 2.0
# Energy in eV/atom: -29.6962
data_PPtBr2
_space_group_name_H-M_alt 'P 4 m m'
_space_group_IT_number 99
_cell_length_a 2.9254
_cell_length_b 2.9254
_cell_length_c 10.6200
_cell_angle_alpha 90.00
_cell_angle_beta 90.00
_cell_angle_gamma 90.00
loop_
_space_group_symop_operation_xyz
'x,y,z'
'-y,x,z'
'-x,-y,z'
'y,-x,z'
'-x,y,z'
'y,x,z'
'x,-y,z'
'-y,-x,z'
loop_
_atom_site_label
_atom_site_type_symbol
_atom_site_fract_x
_atom_site_fract_y
_atom_site_fract_z
_atom_site_occupancy
P1 P 0.0000 0.0000 0.0000 1
Pt1 Pt 0.5000 0.5000 0.1142 1
Br1 Br 0.0000 0.0000 0.3821 1
Br2 Br 0.5000 0.5000 0.7086 1



No. 8
# KZrSc4 (SCAN, PBEsol geometry)
# N(E_F) in states/eV/cell: 33.4
# Energy in eV/atom: -15.3289
# Calculated formation energy in eV/atom: 0.667
data_KZrSc4
_space_group_name_H-M_alt 'F -4 3 m'
_space_group_IT_number 216
_space_group_name_Hall 'F -4 2 3'
_cell_length_a 8.6410
_cell_length_b 8.6410
_cell_length_c 8.6410
_cell_angle_alpha 90.00
_cell_angle_beta 90.00
_cell_angle_gamma 90.00
loop_
_atom_site_label
_atom_site_type_symbol
_atom_site_fract_x
_atom_site_fract_y
_atom_site_fract_z
_atom_site_occupancy
K1 K 0.0000 0.0000 0.0000 1
Zr1 Zr 0.2500 0.2500 0.2500 1
Sc1 Sc 0.1197 0.1197 0.6197 1